Material: In2GaSn
Method: DFT, PBE
State: optimized geometry

Cell lengths 11.3943, 11.3943, 11.3943 Å; angles 157.94, 157.94, 31.39 degrees
Fractional coordinates of all 8 atoms:
In: 0.1171 0.6250 0.9921
In: 0.3750 0.3671 0.4921
In: 0.6329 0.1250 0.0079
In: 0.8750 0.8829 0.5079
Ga: 0.0000 0.0000 0.0000
Ga: 0.7500 0.2500 0.5000
Sn: 0.2500 0.7500 0.5000
Sn: 0.5000 0.5000 0.0000

Values from the calculation:
The energy above the most stable polymorph in this dataset comes out at 34 meV per atom. The density comes out at 6661 kg/m³. The energy of formation from the pure elements comes out at 0.08 eV/atom. The value obtained for the total magnetization is 0.000 μB per formula unit. The calculated total energy is -3.05 eV per atom. The space-group type is I-42d.

***

Material: In4GaSn
Method: DFT, PBE
State: optimized geometry

Cell lengths 6.1754, 6.1754, 6.1754 Å; angles 60.00, 60.00, 60.00 degrees
Fractional coordinates of all 6 atoms:
In: 0.1249 0.1249 0.1249
In: 0.1249 0.1249 0.6253
In: 0.1249 0.6253 0.1249
In: 0.6253 0.1249 0.1249
Ga: 0.7500 0.7500 0.7500
Sn: 0.5000 0.5000 0.5000

Values from the calculation:
The energy above the most stable polymorph in this dataset comes out at 123 meV per atom. The density comes out at 6459 kg/m³. The energy of formation from the pure elements comes out at 0.18 eV/atom. The value obtained for the total magnetization is 0.000 μB per formula unit. The calculated total energy is -2.82 eV per atom. The space-group type is F-43m.

***

Material: In4GaSn
Method: DFT, PBE
State: optimized geometry

Cell lengths 4.0609, 4.0609, 9.5307 Å; angles 90.00, 90.00, 90.00 degrees
Fractional coordinates of all 6 atoms:
In: 0.0000 0.0000 0.1616
In: 0.0000 0.0000 0.8384
In: 0.5000 0.5000 0.3278
In: 0.5000 0.5000 0.6722
Ga: 0.5000 0.5000 0.0000
Sn: 0.0000 0.0000 0.5000

Values from the calculation:
The energy above the most stable polymorph in this dataset comes out at 0 meV per atom. The density comes out at 6843 kg/m³. The energy of formation from the pure elements comes out at 0.05 eV/atom. The value obtained for the total magnetization is 0.000 μB per formula unit. The calculated total energy is -2.94 eV per atom. The space-group type is P4/mmm.

***

Material: In2GaSn3
Method: DFT, PBE
State: optimized geometry

Cell lengths 8.4908, 8.4908, 3.6267 Å; angles 90.00, 90.00, 142.95 degrees
Fractional coordinates of all 6 atoms:
In: 0.1791 0.8209 0.0000
In: 0.8209 0.1791 0.0000
Ga: 0.5000 0.5000 0.0000
Sn: 0.0000 0.0000 0.5000
Sn: 0.3565 0.6435 0.5000
Sn: 0.6435 0.3565 0.5000

Values from the calculation:
The energy above the most stable polymorph in this dataset comes out at 0 meV per atom. The density comes out at 6909 kg/m³. The energy of formation from the pure elements comes out at 0.05 eV/atom. The value obtained for the total magnetization is 0.000 μB per formula unit. The calculated total energy is -3.37 eV per atom. The space-group type is Cmmm.

***

Material: InGa2Sn
Method: DFT, PBE
State: optimized geometry

Cell lengths 3.5776, 3.5776, 7.3512 Å; angles 90.00, 90.00, 90.00 degrees
Fractional coordinates of all 4 atoms:
In: 0.0000 0.0000 0.0000
Ga: 0.5000 0.5000 0.2592
Ga: 0.5000 0.5000 0.7408
Sn: 0.0000 0.0000 0.5000

Values from the calculation:
The energy above the most stable polymorph in this dataset comes out at 30 meV per atom. The density comes out at 6582 kg/m³. The energy of formation from the pure elements comes out at 0.06 eV/atom. The value obtained for the total magnetization is 0.000 μB per formula unit. The calculated total energy is -3.14 eV per atom. The space-group type is P4/mmm.

***

Material: In2Ga4Sn
Method: DFT, PBE
State: optimized geometry

Cell lengths 11.4937, 11.4937, 3.2039 Å; angles 90.00, 90.00, 157.73 degrees
Fractional coordinates of all 7 atoms:
In: 0.2015 0.7985 0.0000
In: 0.7985 0.2015 0.0000
Ga: 0.0669 0.9331 0.0000
Ga: 0.3672 0.6328 0.5000
Ga: 0.6328 0.3672 0.5000
Ga: 0.9331 0.0669 0.0000
Sn: 0.5000 0.5000 0.5000

Values from the calculation:
The energy above the most stable polymorph in this dataset comes out at 0 meV per atom. The density comes out at 6494 kg/m³. The energy of formation from the pure elements comes out at 0.06 eV/atom. The value obtained for the total magnetization is 0.000 μB per formula unit. The calculated total energy is -3.03 eV per atom. The space-group type is Cmmm.

***

Material: InGa6Sn12
Method: DFT, PBE
State: optimized geometry

Cell lengths 8.5689, 8.5689, 8.5689 Å; angles 109.47, 109.47, 109.47 degrees
Fractional coordinates of all 19 atoms:
In: 0.0000 0.0000 0.0000
Ga: 0.1312 0.5000 0.6312
Ga: 0.3688 0.8688 0.5000
Ga: 0.5000 0.3688 0.8688
Ga: 0.5000 0.6312 0.1312
Ga: 0.6312 0.1312 0.5000
Ga: 0.8688 0.5000 0.3688
Sn: 0.0375 0.2530 0.7845
Sn: 0.2155 0.4685 0.2530
Sn: 0.2155 0.9625 0.7470
Sn: 0.2530 0.2155 0.4685
Sn: 0.2530 0.7845 0.0375
Sn: 0.4685 0.2530 0.2155
Sn: 0.5315 0.7470 0.7845
Sn: 0.7470 0.2155 0.9625
Sn: 0.7470 0.7845 0.5315
Sn: 0.7845 0.0375 0.2530
Sn: 0.7845 0.5315 0.7470
Sn: 0.9625 0.7470 0.2155

Values from the calculation:
The density comes out at 6712 kg/m³. The energy of formation from the pure elements comes out at 0.07 eV/atom. The value obtained for the total magnetization is 0.000 μB per formula unit. The calculated total energy is -3.56 eV per atom. The space-group type is Im-3.

***

Material: In3GaSn
Method: DFT, PBE
State: optimized geometry

Cell lengths 5.0998, 5.0998, 11.8177 Å; angles 90.00, 90.00, 120.00 degrees
Fractional coordinates of all 10 atoms:
In: 0.0000 0.0000 0.0000
In: 0.0000 0.0000 0.5000
In: 0.3333 0.6667 0.1088
In: 0.3333 0.6667 0.7701
In: 0.6667 0.3333 0.2701
In: 0.6667 0.3333 0.6088
Ga: 0.0000 0.0000 0.2476
Ga: 0.0000 0.0000 0.7476
Sn: 0.3333 0.6667 0.3977
Sn: 0.6667 0.3333 0.8977

Values from the calculation:
The energy above the most stable polymorph in this dataset comes out at 28 meV per atom. The density comes out at 6649 kg/m³. The energy of formation from the pure elements comes out at 0.07 eV/atom. The value obtained for the total magnetization is 0.000 μB per formula unit. The calculated total energy is -2.98 eV per atom. The space-group type is P6_3mc.

***

Material: InGaSn4
Method: DFT, PBE
State: optimized geometry

Cell lengths 6.2340, 6.2340, 5.4925 Å; angles 115.85, 115.85, 96.98 degrees
Fractional coordinates of all 6 atoms:
In: 0.0000 0.0000 0.0000
Ga: 0.5000 0.5000 0.5000
Sn: 0.0826 0.4195 0.7512
Sn: 0.4195 0.0826 0.7512
Sn: 0.5805 0.9174 0.2488
Sn: 0.9174 0.5805 0.2488

Values from the calculation:
The energy above the most stable polymorph in this dataset comes out at 0 meV per atom. The density comes out at 6862 kg/m³. The energy of formation from the pure elements comes out at 0.05 eV/atom. The value obtained for the total magnetization is 0.000 μB per formula unit. The calculated total energy is -3.58 eV per atom. The space-group type is C2/m.

***

Material: In2Ga2Sn3
Method: DFT, PBE
State: optimized geometry

Cell lengths 4.3138, 6.8115, 7.2843 Å; angles 64.45, 75.63, 74.15 degrees
Fractional coordinates of all 7 atoms:
In: 0.1156 0.0897 0.1385
In: 0.8844 0.9103 0.8615
Ga: 0.0964 0.6542 0.5533
Ga: 0.9036 0.3458 0.4467
Sn: 0.4309 0.5826 0.1745
Sn: 0.5000 0.0000 0.5000
Sn: 0.5691 0.4174 0.8255

Values from the calculation:
The density comes out at 6557 kg/m³. The energy of formation from the pure elements comes out at 0.05 eV/atom. The value obtained for the total magnetization is 0.000 μB per formula unit. The calculated total energy is -3.31 eV per atom. The space-group type is P-1.

***

Material: In15GaSn4
Method: DFT, PBE
State: optimized geometry

Cell lengths 4.9755, 4.9755, 21.7857 Å; angles 90.00, 90.00, 90.00 degrees
Fractional coordinates of all 20 atoms:
In: 0.0000 0.0000 0.0000
In: 0.0000 0.0000 0.1968
In: 0.0000 0.0000 0.3985
In: 0.0000 0.0000 0.6016
In: 0.0000 0.0000 0.8032
In: 0.0000 0.5000 0.0943
In: 0.0000 0.5000 0.2970
In: 0.0000 0.5000 0.5000
In: 0.0000 0.5000 0.7030
In: 0.0000 0.5000 0.9057
In: 0.5000 0.0000 0.0943
In: 0.5000 0.0000 0.2970
In: 0.5000 0.0000 0.5000
In: 0.5000 0.0000 0.7030
In: 0.5000 0.0000 0.9057
Ga: 0.5000 0.5000 0.0000
Sn: 0.5000 0.5000 0.1939
Sn: 0.5000 0.5000 0.3997
Sn: 0.5000 0.5000 0.6003
Sn: 0.5000 0.5000 0.8061

Values from the calculation:
The density comes out at 6979 kg/m³. The energy of formation from the pure elements comes out at 0.02 eV/atom. The value obtained for the total magnetization is 0.000 μB per formula unit. The calculated total energy is -2.98 eV per atom. The space-group type is P4/mmm.